[1]
# PBE ZnNi3H, relaxed
# Calculated total energy ... -14.49 eV/f.u.
data_ZnNi3H
_cell_length_a 4.3695
_cell_length_b 4.3695
_cell_length_c 4.3695
_cell_angle_alpha 90.00
_cell_angle_beta 90.00
_cell_angle_gamma 90.00
_space_group_name_H-M_alt 'P m -3 m'
_space_group_IT_number 221
_space_group_name_Hall '-P 4 2 3'
loop_
_atom_site_label
_atom_site_type_symbol
_atom_site_fract_x
_atom_site_fract_y
_atom_site_fract_z
Zn1 Zn 0.0000 0.0000 0.0000
Ni1 Ni 0.0000 0.0000 0.5000
H1 H 0.5000 0.5000 0.5000

***

[2]
# PBE ZnNi3H3, relaxed
# Calculated total energy ... -29.23 eV/f.u.
data_ZnNi3H3
_cell_length_a 7.0931
_cell_length_b 7.0931
_cell_length_c 2.6148
_cell_angle_alpha 90.00
_cell_angle_beta 90.00
_cell_angle_gamma 120.00
_space_group_name_H-M_alt 'P 63/m'
_space_group_IT_number 176
_space_group_name_Hall '-P 6c'
loop_
_atom_site_label
_atom_site_type_symbol
_atom_site_fract_x
_atom_site_fract_y
_atom_site_fract_z
Zn1 Zn 0.3333 0.6667 0.2500
Ni1 Ni 0.0309 0.6776 0.7500
H1 H 0.0533 0.2425 0.7500

***

[3]
# PBE ZnNi3H, relaxed
# Calculated total energy ... -22.63 eV/f.u.
data_ZnNi3H
_cell_length_a 8.9256
_cell_length_b 5.1109
_cell_length_c 4.4709
_cell_angle_alpha 90.00
_cell_angle_beta 109.96
_cell_angle_gamma 90.00
_space_group_name_H-M_alt 'C 1 m 1'
_space_group_IT_number 8
_space_group_name_Hall 'C -2y'
loop_
_atom_site_label
_atom_site_type_symbol
_atom_site_fract_x
_atom_site_fract_y
_atom_site_fract_z
Zn1 Zn 0.0000 0.0000 0.0000
Zn2 Zn 0.2464 0.5000 0.4666
Ni1 Ni 0.2443 0.0000 0.4922
Ni2 Ni 0.2461 0.2473 0.9807
Ni3 Ni 0.4903 0.0000 0.9877
Ni4 Ni 0.4968 0.2527 0.4936
H1 H 0.1133 0.5000 0.7809
H2 H 0.3703 0.0000 0.2488

***

[4]
# PBE ZnNi7H12, relaxed
# Calculated total energy ... -81.51 eV/f.u.
data_ZnNi7H12
_cell_length_a 7.1193
_cell_length_b 7.1193
_cell_length_c 9.0543
_cell_angle_alpha 90.00
_cell_angle_beta 90.00
_cell_angle_gamma 120.00
_space_group_name_H-M_alt 'R -3'
_space_group_IT_number 148
_space_group_name_Hall '-R 3'
loop_
_atom_site_label
_atom_site_type_symbol
_atom_site_fract_x
_atom_site_fract_y
_atom_site_fract_z
Zn1 Zn 0.0000 0.0000 0.0000
Ni1 Ni 0.0000 0.0000 0.5000
Ni2 Ni 0.0500 0.2575 0.7110
H1 H 0.0268 0.2616 0.8982
H2 H 0.0344 0.1965 0.3827

***

[5]
# PBE Zn2Ni8H, relaxed
# Calculated total energy ... -52.96 eV/f.u.
data_Zn2Ni8H
_cell_length_a 12.9102
_cell_length_b 3.6207
_cell_length_c 5.0556
_cell_angle_alpha 90.00
_cell_angle_beta 102.33
_cell_angle_gamma 90.00
_space_group_name_H-M_alt 'C 1 2/m 1'
_space_group_IT_number 12
_space_group_name_Hall '-C 2y'
loop_
_atom_site_label
_atom_site_type_symbol
_atom_site_fract_x
_atom_site_fract_y
_atom_site_fract_z
Zn1 Zn 0.1970 0.0000 0.1074
Ni1 Ni 0.0000 0.0000 0.0000
Ni2 Ni 0.0000 0.0000 0.5000
Ni3 Ni 0.0996 0.5000 0.3032
Ni4 Ni 0.1002 0.5000 0.8049
Ni5 Ni 0.2000 0.0000 0.6019
H1 H 0.0000 0.5000 0.5000

***

[6]
# PBE ZnNi3H, relaxed
# Calculated total energy ... -22.52 eV/f.u.
data_ZnNi3H
_cell_length_a 4.2153
_cell_length_b 5.0705
_cell_length_c 4.5028
_cell_angle_alpha 90.00
_cell_angle_beta 91.88
_cell_angle_gamma 90.00
_space_group_name_H-M_alt 'P 1 21/m 1'
_space_group_IT_number 11
_space_group_name_Hall '-P 2yb'
loop_
_atom_site_label
_atom_site_type_symbol
_atom_site_fract_x
_atom_site_fract_y
_atom_site_fract_z
Zn1 Zn 0.2413 0.2500 0.3490
Ni1 Ni 0.2443 0.7500 0.3421
Ni2 Ni 0.2470 0.0024 0.8397
H1 H 0.4601 0.7500 0.0369

***

[7]
# PBE Zn3Ni9H2, relaxed
# Calculated total energy ... -64.52 eV/f.u.
data_Zn3Ni9H2
_cell_length_a 5.1073
_cell_length_b 5.1073
_cell_length_c 12.5207
_cell_angle_alpha 90.00
_cell_angle_beta 90.00
_cell_angle_gamma 120.00
_space_group_name_H-M_alt 'P 63/m m c'
_space_group_IT_number 194
_space_group_name_Hall '-P 6c 2c'
loop_
_atom_site_label
_atom_site_type_symbol
_atom_site_fract_x
_atom_site_fract_y
_atom_site_fract_z
Zn1 Zn 0.0000 0.0000 0.2500
Zn2 Zn 0.3333 0.6667 0.0830
Ni1 Ni 0.0039 0.5019 0.2500
Ni2 Ni 0.1637 0.3273 0.5815
H1 H 0.3333 0.6667 0.6579

***

[8]
# PBE Zn2Ni4H, relaxed
# Calculated total energy ... -29.41 eV/f.u.
data_Zn2Ni4H
_cell_length_a 3.5307
_cell_length_b 3.5307
_cell_length_c 12.2684
_cell_angle_alpha 90.00
_cell_angle_beta 90.00
_cell_angle_gamma 90.00
_space_group_name_H-M_alt 'I 4/m m m'
_space_group_IT_number 139
_space_group_name_Hall '-I 4 2'
loop_
_atom_site_label
_atom_site_type_symbol
_atom_site_fract_x
_atom_site_fract_y
_atom_site_fract_z
Zn1 Zn 0.0000 0.0000 0.1493
Ni1 Ni 0.0000 0.0000 0.3449
Ni2 Ni 0.0000 0.5000 0.0000
H1 H 0.0000 0.0000 0.5000

***

[9]
# PBE Zn2Ni3H2, relaxed
# Calculated total energy ... -27.21 eV/f.u.
data_Zn2Ni3H2
_cell_length_a 2.5814
_cell_length_b 4.4702
_cell_length_c 6.2881
_cell_angle_alpha 102.18
_cell_angle_beta 101.46
_cell_angle_gamma 106.75
_space_group_name_H-M_alt 'P -1'
_space_group_IT_number 2
_space_group_name_Hall '-P 1'
loop_
_atom_site_label
_atom_site_type_symbol
_atom_site_fract_x
_atom_site_fract_y
_atom_site_fract_z
Zn1 Zn 0.1913 0.3001 0.0870
Ni1 Ni 0.3802 0.0546 0.7014
Ni2 Ni 0.5000 0.5000 0.5000
H1 H 0.0919 0.7482 0.4339

***

[10]
# PBE ZnNi6H8, relaxed
# Calculated total energy ... -62.29 eV/f.u.
data_ZnNi6H8
_cell_length_a 5.0709
_cell_length_b 5.0709
_cell_length_c 13.8757
_cell_angle_alpha 90.00
_cell_angle_beta 90.00
_cell_angle_gamma 120.00
_space_group_name_H-M_alt 'R -3'
_space_group_IT_number 148
_space_group_name_Hall '-R 3'
loop_
_atom_site_label
_atom_site_type_symbol
_atom_site_fract_x
_atom_site_fract_y
_atom_site_fract_z
Zn1 Zn 0.0000 0.0000 0.0000
Ni1 Ni 0.0010 0.4256 0.9115
H1 H 0.0000 0.0000 0.3063
H2 H 0.0440 0.4304 0.7888